A plane-wave DFT calculation with PBE was carried out for a relaxed LiCa2Co crystal.

Cell: 3.503 3.503 7.939 Å, 90.00 90.00 90.00°
Sites, in units of the cell vectors:
Li 0.000 0.000 0.000
Ca 0.000 0.000 0.653
Ca 0.500 0.500 0.257
Co 0.500 0.500 0.881

Computed properties:
- Energy of formation: 0.3031 eV/atom
- V: 24.3 A^3/atom
- E_tot: -11.8 eV/f.u.
- Space-group type: P4mm, No. 99